A geometry-optimized LaBe2Zn2 structure. Source: the Alexandria database, functional GGA-PBE.

Cell: 7.697 7.697 2.747 Å, 90.00 90.00 90.00°
Fractional coordinates of all 10 atoms:
1 Be 0.382 0.882 0.000
2 Be 0.882 0.618 0.000
3 Be 0.118 0.382 0.000
4 Be 0.618 0.118 0.000
5 Zn 0.343 0.157 0.500
6 Zn 0.843 0.343 0.500
7 Zn 0.157 0.657 0.500
8 Zn 0.657 0.843 0.500
9 La 0.500 0.500 0.000
10 La 0.000 0.000 0.000

SG	No. 127
volume	163	Å³ per cell
E_form	0.23	eV/atom
DOS at the Fermi energy	7.407	states/eV per cell
energy relative to the lowest polymorph listed for this composition	150	kJ/mol of formula units
total DFT energy (no corrections)	-2.753	eV per atom

---

A geometry-optimized LiTlPbSe2 structure. Source: the Alexandria database, functional GGA-PBE.

Cell: 5.625 4.771 5.625 Å, 90.00 90.00 90.00°
Fractional coordinates of all 5 atoms:
1 Tl 0.000 0.000 0.000
2 Pb 0.500 0.500 0.500
3 Li 0.000 0.500 0.000
4 Se 0.500 0.000 0.000
5 Se 0.000 0.000 0.500

SG	No. 123
volume	151	Å³ per cell
DOS at the Fermi energy	1.982	states/eV per cell
formation energy (no corrections)	0.145	eV/atom
total DFT energy (no corrections)	-2.846	eV per atom